# 1
! Tb5Nd2Ho4, relaxed, DFT PBE; values from VASP
! Total magnetization, μB per atom: 0.00
! E above lowest polymorph, meV per atom: 0.0
! DOS(E_F), states/eV/f.u.: 17.61
! Space-group type: C2/m, No. 12
&SYSTEM
  ibrav = 0, nat = 11, ntyp = 3
/
ATOMIC_SPECIES
Tb 158.93 Tb.upf
Nd 144.24 Nd.upf
Ho 164.93 Ho.upf
CELL_PARAMETERS angstrom
8.6146 -1.7678 0.0000
8.6146 1.7678 0.0000
-1.0902 0.0000 11.6799
ATOMIC_POSITIONS crystal
Tb 0.0000 0.0000 0.0000
Tb 0.0926 0.0926 0.5436
Tb 0.4577 0.4577 0.7177
Tb 0.5423 0.5423 0.2823
Tb 0.9074 0.9074 0.4564
Nd 0.1361 0.1361 0.8139
Nd 0.8639 0.8639 0.1861
Ho 0.2315 0.2315 0.3543
Ho 0.3207 0.3207 0.9254
Ho 0.6793 0.6793 0.0746
Ho 0.7685 0.7685 0.6457



# 2
! Tb7NdHo4, relaxed, DFT PBE; values from VASP
! Total magnetization, μB per atom: 0.00
! E above lowest polymorph, meV per atom: 272.4
! DOS(E_F), states/eV/f.u.: 19.56
! Space-group type: C2/m, No. 12
&SYSTEM
  ibrav = 0, nat = 12, ntyp = 3
/
ATOMIC_SPECIES
Tb 158.93 Tb.upf
Nd 144.24 Nd.upf
Ho 164.93 Ho.upf
CELL_PARAMETERS angstrom
6.0174 -2.9454 0.0000
6.0174 2.9454 0.0000
-5.9213 0.0000 11.1504
ATOMIC_POSITIONS crystal
Tb 0.0000 0.0000 0.0000
Tb 0.1330 0.1330 0.5032
Tb 0.2895 0.2895 0.0783
Tb 0.4409 0.4409 0.6707
Tb 0.5591 0.5591 0.3293
Tb 0.7105 0.7105 0.9217
Tb 0.8670 0.8670 0.4968
Nd 0.5000 0.5000 0.0000
Ho 0.1333 0.1333 0.7749
Ho 0.2498 0.2498 0.3165
Ho 0.7502 0.7502 0.6835
Ho 0.8667 0.8667 0.2251